# KLaNi4O12

A relaxed structure of KLaNi4O12 (PBE+U, Alexandria).

abc: 5.452 5.452 7.757
angles: 90.00 90.00 90.00
Space group P4/mmm (No. 123)
Asymmetric unit:
K  0.000  0.000  0.000 [1 per cell]
La  0.500  0.500  0.500 [1 per cell]
Ni  0.000  0.500  0.246 [4 per cell]
O  0.000  0.500  0.000 [2 per cell]
O  0.000  0.500  0.500 [2 per cell]
O  0.264  0.264  0.264 [8 per cell]

Energy ... -4.72 eV/atom